Entry 1:
10
Lattice="-3.269 -5.551 -0.204 1.306 1.858 -4.695 5.635 -0.315 1.443" Properties=species:S:1:pos:R:3 comment="PuHg2AuO6 (PBE, relaxed)" magmom_total_mub_per_cell=3.00 dos_at_fermi_per_ev_cell=5.653 formation_energy_uncorrected_ev_per_atom=-1.073 spacegroup="C2/m (12)" pbc="T T T"
O 1.047 -0.040 -4.517
O -0.941 -3.408 -2.945
O 1.673 -3.555 -2.275
O 4.408 -0.558 -0.545
O 1.793 -0.411 -1.216
O 2.420 -3.926 1.026
Hg 0.603 -1.667 -3.140
Hg 2.864 -2.299 -0.351
Pu 3.570 -3.987 -3.473
Au 0.099 -4.758 -1.847

Entry 2:
12
Lattice="-1.553 -2.248 8.045 7.832 -1.596 1.573 1.322 8.955 2.721" Properties=species:S:1:pos:R:3 comment="Rb8Hg2AuO (PBE, relaxed)" magmom_total_mub_per_cell=0.00 dos_at_fermi_per_ev_cell=7.021 formation_energy_uncorrected_ev_per_atom=-0.353 spacegroup="P-1 (2)" pbc="T T T"
Hg 3.361 -0.497 5.236
Hg 4.240 5.608 7.103
Rb 6.676 5.980 9.897
Rb 6.982 5.531 4.492
Rb 0.619 -0.421 7.848
Rb 2.222 3.286 4.530
Rb 6.215 0.325 2.897
Rb 0.924 -0.870 2.443
Rb 5.379 1.824 7.809
Rb 1.386 4.785 9.443
Au 0.661 4.477 1.360
O 0.000 0.000 0.000

Entry 3:
12
Lattice="8.347 0.298 -0.042 0.416 7.692 0.739 -0.081 0.889 9.217" Properties=species:S:1:pos:R:3 comment="Rb8HgAu2O (PBE, relaxed)" magmom_total_mub_per_cell=0.00 dos_at_fermi_per_ev_cell=4.623 formation_energy_uncorrected_ev_per_atom=-0.354 spacegroup="P-1 (2)" pbc="T T T"
Rb 0.943 5.783 2.695
Rb 5.284 6.165 4.872
Rb 7.739 3.096 7.218
Rb 6.392 7.474 9.092
Rb 1.970 6.853 8.350
Rb 2.290 1.405 0.821
Rb 3.398 2.714 5.041
Rb 6.712 2.026 1.563
Au 4.144 4.500 1.703
Au 4.538 4.378 8.210
Hg -0.040 0.444 4.608
O 0.000 0.000 0.000

Entry 4:
20
Lattice="8.698 0.000 0.000 4.349 7.532 0.000 4.349 2.511 15.252" Properties=species:S:1:pos:R:3 comment="Rb6Hg2AuO (PBE, relaxed)" magmom_total_mub_per_cell=0.02 dos_at_fermi_per_ev_cell=14.168 formation_energy_uncorrected_ev_per_atom=-0.377 spacegroup="R-3m (166)" pbc="T T T"
Rb 8.698 2.233 1.646
Rb 8.698 7.317 6.019
Rb 10.685 6.169 9.233
Rb 10.685 3.874 6.019
Rb 8.698 7.810 13.606
Rb 6.710 6.169 9.233
Rb 6.710 3.874 6.019
Rb 8.698 2.726 9.233
Rb 11.113 3.627 13.606
Rb 11.113 6.416 1.646
Rb 6.282 3.627 13.606
Rb 6.282 6.416 1.646
O 0.000 0.000 0.000
O 8.698 5.022 7.626
Hg 4.349 2.511 9.989
Hg 13.046 7.532 5.262
Hg 13.046 7.532 14.022
Hg 4.349 2.511 1.230
Au 8.698 5.022 3.501
Au 8.698 5.022 11.751

Entry 5:
12
Lattice="-0.222 -3.856 2.869 5.536 -3.434 -4.187 6.753 9.057 8.661" Properties=species:S:1:pos:R:3 comment="Rb7HgAu2O2 (PBE, relaxed)" magmom_total_mub_per_cell=0.00 dos_at_fermi_per_ev_cell=3.847 formation_energy_uncorrected_ev_per_atom=-0.528 spacegroup="Imm2 (44)" pbc="T T T"
O 7.675 4.115 6.124
O 4.893 -2.659 0.840
Hg 0.420 -0.261 -0.318
Au 4.211 -0.103 4.222
Au 8.961 1.185 2.285
Rb 4.242 -0.011 0.314
Rb 6.389 2.669 8.116
Rb 2.541 -3.573 -0.571
Rb 5.982 2.871 4.321
Rb 6.439 -3.922 -0.739
Rb 7.038 -1.695 2.301
Rb 9.730 3.144 4.979

Entry 6:
18
Lattice="10.490 0.000 0.000 0.000 10.880 0.000 -5.245 -5.440 7.446" Properties=species:S:1:pos:R:3 comment="Rb6HgAuO (PBE, relaxed)" magmom_total_mub_per_cell=0.00 dos_at_fermi_per_ev_cell=13.903 formation_energy_uncorrected_ev_per_atom=-0.411 spacegroup="Imma (74)" pbc="T T T"
Rb 3.285 0.490 1.864
Rb 5.245 8.160 1.076
Rb 7.205 0.490 1.864
Rb -1.960 4.950 5.582
Rb -1.960 0.490 5.582
Rb 3.285 4.950 1.864
Rb 0.000 -2.720 6.370
Rb 1.960 0.490 5.582
Rb 7.205 4.950 1.864
Rb 0.000 8.160 1.316
Rb 5.245 -2.720 6.130
Rb 1.960 4.950 5.582
Hg 0.000 2.720 2.821
Hg 5.245 2.720 4.625
O 5.245 0.000 0.000
O 5.245 5.440 0.000
Au -2.623 -2.720 3.723
Au 2.623 -2.720 3.723

Entry 7:
12
Lattice="-4.196 2.445 -0.918 -2.859 -1.339 -3.803 -5.989 -4.238 2.782" Properties=species:S:1:pos:R:3 comment="HgAuS2O8 (PBE, relaxed)" magmom_total_mub_per_cell=1.07 dos_at_fermi_per_ev_cell=5.868 formation_energy_uncorrected_ev_per_atom=-0.723 spacegroup="R32 (155)" pbc="T T T"
Au -6.522 -1.566 -0.969
S -9.865 -2.453 -1.356
S -3.179 -0.679 -0.583
O -4.610 -0.235 -0.498
O -8.854 -1.707 -0.534
O -10.607 -3.393 -0.467
O -6.647 -3.938 -1.050
O -7.296 0.385 -2.085
O -5.407 -1.995 -3.024
O -2.437 0.261 -1.472
O -6.317 -1.906 1.374
Hg 0.000 0.000 0.000

Entry 8:
14
Lattice="6.579 0.000 0.000 -3.290 6.355 -0.458 0.000 -3.838 6.312" Properties=species:S:1:pos:R:3 comment="SmHgAuO4 (PBE, relaxed)" magmom_total_mub_per_cell=0.00 formation_energy_uncorrected_ev_per_atom=-1.277 spacegroup="Imma (74)" pbc="T T T"
O -1.313 4.976 0.865
O 1.313 4.976 0.865
O 3.290 0.417 3.896
O 1.976 -2.459 4.989
O 4.603 -2.459 4.989
O 0.000 2.101 1.958
O 3.290 1.732 1.733
O 0.000 0.786 4.120
Sm 3.290 0.000 0.000
Sm 3.290 -1.919 3.156
Hg 0.000 -2.329 5.068
Hg 3.290 4.847 0.786
Au 1.645 1.259 2.927
Au -1.645 1.259 2.927

Entry 9:
14
Lattice="6.836 0.000 0.000 0.000 6.827 0.000 -3.418 0.000 7.615" Properties=species:S:1:pos:R:3 comment="Sm4HgAuO (PBE, relaxed)" magmom_total_mub_per_cell=0.00 dos_at_fermi_per_ev_cell=12.480 formation_energy_uncorrected_ev_per_atom=-1.151 spacegroup="Cmcm (63)" pbc="T T T"
Sm 1.709 0.000 3.807
Sm 0.000 5.120 0.998
Sm 0.000 5.120 6.453
Sm 1.709 3.413 3.807
Sm -1.709 0.000 3.807
Sm -1.709 3.413 3.807
Sm 3.418 1.707 1.162
Sm 3.418 1.707 6.617
Au 0.000 1.707 1.854
Au 3.418 5.120 5.761
Hg 3.418 5.120 1.795
Hg 0.000 1.707 5.820
O 3.418 1.707 3.737
O 0.000 5.120 3.878

Entry 10:
20
Lattice="7.527 0.000 0.152 0.000 8.269 0.000 0.282 0.000 10.830" Properties=species:S:1:pos:R:3 comment="Sr6Hg2AuO (PBE, relaxed)" magmom_total_mub_per_cell=0.00 dos_at_fermi_per_ev_cell=11.192 formation_energy_uncorrected_ev_per_atom=-0.872 spacegroup="P2_1/c (14)" pbc="T T T"
Hg 3.550 3.333 2.758
Hg 4.259 4.937 8.224
Hg 7.454 0.802 8.249
Hg 0.355 7.467 2.733
Sr 1.216 1.707 0.611
Sr 2.688 5.842 4.881
Sr 1.620 1.429 4.873
Sr 6.189 6.840 6.109
Sr 4.702 0.217 3.027
Sr 6.592 6.562 10.372
Sr 3.106 8.052 7.956
Sr 6.729 4.352 2.616
Sr 2.285 5.564 0.618
Sr 1.080 3.918 8.366
Sr 5.524 2.706 10.364
Sr 5.121 2.427 6.102
Au 0.141 4.135 5.415
Au 3.764 0.000 0.076
O 3.904 0.000 5.491
O 0.000 4.135 0.000

Entry 11:
16
Lattice="-1.561 -6.644 -1.144 6.774 -0.170 -1.404 -1.624 2.368 6.908" Properties=species:S:1:pos:R:3 comment="SrHg2AuO4 (PBE, relaxed)" magmom_total_mub_per_cell=0.00 dos_at_fermi_per_ev_cell=6.005 formation_energy_uncorrected_ev_per_atom=-0.825 spacegroup="C2/c (15)" pbc="T T T"
Hg -0.781 -3.322 -0.572
Hg -1.593 -2.138 2.882
Hg 2.606 -3.407 -1.274
Hg -0.812 1.184 3.454
Au -3.185 -4.276 5.764
Au 1.795 -2.223 2.180
O 0.045 -5.224 -0.779
O 3.544 0.778 5.139
O 1.019 -0.732 3.531
O -0.424 1.207 5.544
O 0.037 -3.415 2.650
O 2.570 -3.714 0.829
O 4.013 -5.653 -1.183
O 3.552 -1.031 1.710
Sr 1.014 -5.545 1.608
Sr 3.387 -0.085 -0.702

Entry 12:
5
Lattice="5.589 0.000 0.000 0.000 3.831 0.000 0.000 0.000 5.589" Properties=species:S:1:pos:R:3 comment="TaHg2AuO (PBE, relaxed)" magmom_total_mub_per_cell=0.00 dos_at_fermi_per_ev_cell=2.099 formation_energy_uncorrected_ev_per_atom=-0.177 spacegroup="P4/mmm (123)" pbc="T T T"
Au 2.795 1.915 2.795
Hg 2.795 0.000 0.000
Hg 0.000 0.000 2.795
O 0.000 1.915 0.000
Ta 0.000 0.000 0.000

Entry 13:
14
Lattice="6.562 0.000 0.000 -3.281 6.270 -0.389 0.000 -3.730 6.134" Properties=species:S:1:pos:R:3 comment="TbHgAuO4 (PBE, relaxed)" magmom_total_mub_per_cell=0.00 formation_energy_uncorrected_ev_per_atom=-1.317 spacegroup="Imma (74)" pbc="T T T"
O 0.000 0.819 4.080
O 3.281 1.720 1.665
O 0.000 2.135 1.917
O 3.281 0.405 3.828
O -1.303 4.935 0.900
O 4.584 -2.396 4.845
O 1.978 -2.396 4.845
O 1.303 4.935 0.900
Hg 3.281 4.788 0.811
Hg 0.000 -2.248 4.935
Au 1.640 1.270 2.873
Au -1.640 1.270 2.873
Tb 3.281 -1.865 3.067
Tb 3.281 0.000 0.000

Entry 14:
12
Lattice="5.832 0.000 0.000 2.916 6.256 0.231 2.916 2.618 6.783" Properties=species:S:1:pos:R:3 comment="Tc2HgAuO8 (PBE, relaxed)" magmom_total_mub_per_cell=0.00 dos_at_fermi_per_ev_cell=6.685 formation_energy_uncorrected_ev_per_atom=-0.920 spacegroup="C2/m (12)" pbc="T T T"
O 1.461 0.743 1.305
O 10.203 8.131 5.709
O 5.832 5.284 6.516
O 8.749 5.996 4.489
O 4.371 0.743 1.305
O 7.294 8.131 5.709
O 5.832 3.590 0.498
O 2.916 2.878 2.525
Au 0.000 0.000 0.000
Tc 8.749 7.094 5.802
Tc 2.916 1.780 1.212
Hg 5.832 4.437 3.507

Entry 15:
10
Lattice="-5.382 -3.000 -2.469 -3.698 -1.475 5.820 3.236 8.532 -2.297" Properties=species:S:1:pos:R:3 comment="Tl6Hg2AuO (PBE, relaxed)" magmom_total_mub_per_cell=0.00 dos_at_fermi_per_ev_cell=4.486 formation_energy_uncorrected_ev_per_atom=-0.143 spacegroup="P1 (1)" pbc="T T T"
Tl -5.521 1.113 0.855
Tl -2.233 -0.485 0.065
Tl -0.015 2.747 0.022
Tl -1.629 5.395 -2.290
Tl -3.179 4.218 0.902
Tl -0.255 6.861 1.025
Hg -2.876 1.539 2.602
Hg -2.831 2.246 -1.731
Au -6.229 -1.485 2.193
O 0.074 0.358 -0.019

Entry 16:
14
Lattice="-6.351 1.226 1.074 1.921 -1.840 -6.556 -0.051 -4.856 5.243" Properties=species:S:1:pos:R:3 comment="YHgAuO4 (PBE, relaxed)" magmom_total_mub_per_cell=0.00 formation_energy_uncorrected_ev_per_atom=-1.312 spacegroup="Imma (74)" pbc="T T T"
Y -3.201 -1.815 3.158
Y -3.176 0.613 0.537
Hg -4.283 -1.373 -3.748
Hg -0.198 -4.098 3.509
O -0.723 -4.077 0.379
O -3.758 -1.394 -0.618
O -2.410 -1.866 -4.187
O -2.071 -3.604 3.948
O -4.589 -3.118 4.373
O -3.776 -3.115 1.240
O -0.705 -2.355 -1.479
O 0.108 -2.352 -4.613
Au 0.935 -3.348 -0.656
Au -2.240 -2.735 -0.120

Entry 17:
4
Lattice="4.991 0.013 0.000 1.407 4.789 0.000 -3.199 -2.401 2.986" Properties=species:S:1:pos:R:3 comment="HgOsAu2 (PBE, relaxed)" magmom_total_mub_per_cell=1.12 dos_at_fermi_per_ev_cell=3.710 e_tot_ry_per_atom=-0.2779 spacegroup="I4/mmm (139)" pbc="T T T"
Hg 0.703 2.394 1.493
Os 2.496 0.006 1.493
Au 0.000 0.000 0.000
Au 3.199 2.401 0.000

Entry 18:
4
Lattice="-1.022 5.759 1.077 -5.282 2.645 -0.690 3.641 -3.961 2.535" Properties=species:S:1:pos:R:3 comment="HgOs2Au (PBE, relaxed)" magmom_total_mub_per_cell=0.00 dos_at_fermi_per_ev_cell=3.106 e_tot_ry_per_atom=-0.4207 spacegroup="Imm2 (44)" pbc="T T T"
Au -3.272 4.362 0.201
Os -6.138 8.182 0.377
Os -0.443 3.235 1.914
Hg -2.267 1.270 1.011

Entry 19:
4
Lattice="2.882 0.000 0.000 0.000 2.882 0.000 0.000 0.000 8.601" Properties=species:S:1:pos:R:3 comment="HgOsAu2 (PBE, relaxed)" magmom_total_mub_per_cell=0.00 dos_at_fermi_per_ev_cell=3.957 e_tot_ry_per_atom=-0.2913 spacegroup="P4/mmm (123)" pbc="T T T"
Au 0.000 0.000 8.421
Au 0.000 0.000 4.481
Hg 1.441 1.441 2.150
Os 1.441 1.441 6.451

Entry 20:
4
Lattice="4.928 -0.007 0.018 4.107 2.724 0.018 0.834 0.251 4.960" Properties=species:S:1:pos:R:3 comment="HgOs2Au (PBE, relaxed)" magmom_total_mub_per_cell=0.00 dos_at_fermi_per_ev_cell=4.465 e_tot_ry_per_atom=-0.4176 spacegroup="C2/m (12)" pbc="T T T"
Au 2.467 0.742 1.249
Os 4.939 1.485 2.375
Os 9.031 2.716 0.158
Hg 7.402 2.226 3.746